TlZnCd2 (PBE-GGA, relaxed); ΔH_f (0 K) = 0.124 eV per atom; crystal system = tetragonal; E above lowest polymorph = 0.049 eV/atom; VASP energy = -1.24 eV/atom
1.0
5.710 0.172 0.000
2.095 5.315 0.000
-3.903 -2.743 3.143
Cd Tl Zn
2 1 1
direct
0.000 0.000 0.000
0.500 0.500 0.000
0.250 0.750 0.500
0.750 0.250 0.500

---

TlZnCd2 (PBE-GGA, relaxed); ΔH_f (0 K) = 0.102 eV per atom; crystal system = trigonal; E above lowest polymorph = 0.028 eV/atom; VASP energy = -1.27 eV/atom
1.0
-0.948 -2.344 -8.991
1.264 -4.772 -7.928
-2.129 -5.203 -7.458
Cd Zn Tl
2 1 1
direct
0.255 0.255 0.255
0.006 0.006 0.006
0.745 0.745 0.745
0.495 0.495 0.495